Entry 1:
DFT (GGA-PBE) results for crystalline PuNpN at its relaxed geometry.

a = 3.0139 Å, b = 3.0139 Å, c = 11.4835 Å
α = 90.00°, β = 90.00°, γ = 90.00°
Space group I4mm (No. 107)
Inequivalent atoms, fractional coordinates:
Pu 0.0000 0.0000 0.0000 x2
Np 0.0000 0.0000 0.2429 x2
N 0.0000 0.0000 0.6269 x2

Calculated values
formation energy (no corrections)	-0.094	eV/atom
energy relative to the lowest polymorph listed for this composition	0.7926	eV/atom
mass density	15760	kg/m³


Entry 2:
DFT (GGA-PBE) results for crystalline Ho3Zn2Cd4 at its relaxed geometry.

a = 10.8013 Å, b = 4.8121 Å, c = 8.9820 Å
α = 90.00°, β = 117.85°, γ = 90.00°
Space group C2/m (No. 12)
Inequivalent atoms, fractional coordinates:
Ho 0.0000 0.0000 0.0000 x2
Ho 0.1676 0.5000 0.6625 x4
Zn 0.1080 0.5000 0.2777 x4
Cd 0.0567 0.0000 0.3842 x4
Cd 0.2177 0.5000 0.0588 x4

Calculated values
ΔE_f	-0.31	eV per atom
mass density	8651	kg/m³


Entry 3:
DFT (GGA-PBE) results for crystalline MgZn2P at its relaxed geometry.

a = 3.8246 Å, b = 4.0412 Å, c = 8.5116 Å
α = 90.00°, β = 90.00°, γ = 90.00°
Space group Imm2 (No. 44)
Inequivalent atoms, fractional coordinates:
Mg 0.0000 0.0000 0.0000 x2
Zn 0.0000 0.0000 0.4759 x2
Zn 0.0000 0.5000 0.2382 x2
P 0.0000 0.5000 0.7495 x2

Calculated values
ΔE_f	0.03	eV per atom
mass density	4698	kg/m³


Entry 4:
DFT (GGA-PBE) results for crystalline NbTl2ReN at its relaxed geometry.

a = 5.4791 Å, b = 5.4791 Å, c = 3.7088 Å
α = 90.00°, β = 90.00°, γ = 90.00°
Space group P4/mmm (No. 123)
Inequivalent atoms, fractional coordinates:
Nb 0.0000 0.0000 0.0000 x1
Tl 0.0000 0.5000 0.5000 x2
Re 0.5000 0.5000 0.5000 x1
N 0.5000 0.5000 0.0000 x1

Calculated values
formation energy (no corrections)	1.078	eV/atom
mass density	10468	kg/m³


Entry 5:
DFT (GGA-PBE) results for crystalline SnPd5Se at its relaxed geometry.

a = 9.9535 Å, b = 8.6532 Å, c = 7.9673 Å
α = 90.00°, β = 127.91°, γ = 90.00°
Space group C2/c (No. 15)
Inequivalent atoms, fractional coordinates:
Sn 0.0000 0.0246 0.2500 x4
Pd 0.0000 0.3239 0.2500 x4
Pd 0.0966 0.2341 0.9875 x8
Pd 0.2029 0.0706 0.6628 x8
Se 0.0000 0.5000 0.0000 x4

Calculated values
formation energy (no corrections)	-0.113	eV/atom
mass density	8953	kg/m³


Entry 6:
DFT (GGA-PBE) results for crystalline NdPa5Ge6 at its relaxed geometry.

a = 7.2070 Å, b = 12.4822 Å, c = 7.2072 Å
α = 90.00°, β = 109.46°, γ = 90.00°
Space group C2/m (No. 12)
Inequivalent atoms, fractional coordinates:
Nd 0.0000 0.0000 0.0000 x2
Pa 0.0000 0.1643 0.5000 x4
Pa 0.0000 0.3324 0.0000 x4
Pa 0.0000 0.5000 0.5000 x2
Ge 0.2425 0.5000 0.2532 x4
Ge 0.2438 0.3293 0.7446 x8

Calculated values
ΔE_f	-0.49	eV per atom
mass density	9427	kg/m³


Entry 7:
DFT (GGA-PBE) results for crystalline Li3Sm3ZrS8 at its relaxed geometry.

a = 7.9334 Å, b = 7.9334 Å, c = 18.4892 Å
α = 90.00°, β = 90.00°, γ = 120.00°
Space group R-3m (No. 166, hexagonal axes)
Inequivalent atoms, fractional coordinates:
Li 0.0000 0.5000 0.0000 x9
Sm 0.0000 0.5000 0.5000 x9
Zr 0.0000 0.0000 0.5000 x3
S 0.0000 0.0000 0.2518 x6
S 0.0230 0.5115 0.2475 x18

Calculated values
formation energy (no corrections)	-1.754	eV/atom
mass density	4052	kg/m³


Entry 8:
DFT (GGA-PBE) results for crystalline LaSbI3 at its relaxed geometry.

a = 6.0647 Å, b = 6.0647 Å, c = 6.0647 Å
α = 90.00°, β = 90.00°, γ = 90.00°
Space group Pm-3m (No. 221)
Inequivalent atoms, fractional coordinates:
La 0.0000 0.0000 0.0000 x1
Sb 0.5000 0.5000 0.5000 x1
I 0.0000 0.5000 0.5000 x3

Calculated values
formation energy (no corrections)	-0.012	eV/atom
energy relative to the lowest polymorph listed for this composition	0.6026	eV/atom
mass density	4774	kg/m³


Entry 9:
DFT (GGA-PBE) results for crystalline PaV2H6 at its relaxed geometry.

a = 4.3838 Å, b = 4.3838 Å, c = 4.4876 Å
α = 90.00°, β = 90.00°, γ = 120.00°
Space group P6/mmm (No. 191)
Inequivalent atoms, fractional coordinates:
Pa 0.0000 0.0000 0.0000 x1
V 0.3333 0.6667 0.5000 x2
H 0.0000 0.5000 0.2177 x6

Calculated values
mass density	7536	kg/m³


Entry 10:
DFT (GGA-PBE) results for crystalline Sr4Cu2Rh at its relaxed geometry.

a = 5.8794 Å, b = 5.8794 Å, c = 14.4733 Å
α = 90.00°, β = 90.00°, γ = 90.00°
Space group I4/mmm (No. 139)
Inequivalent atoms, fractional coordinates:
Sr 0.0000 0.0000 0.1997 x4
Sr 0.0000 0.5000 0.0000 x4
Cu 0.0000 0.0000 0.4147 x4
Rh 0.0000 0.0000 0.0000 x2

Calculated values
ΔE_f	0.04	eV per atom
mass density	3853	kg/m³


Entry 11:
DFT (GGA-PBE) results for crystalline ScPb at its relaxed geometry.

a = 6.7379 Å, b = 6.7379 Å, c = 6.7379 Å
α = 90.00°, β = 90.00°, γ = 90.00°
Space group F-43m (No. 216)
Inequivalent atoms, fractional coordinates:
Sc 0.0000 0.0000 0.0000 x4
Pb 0.2500 0.2500 0.7500 x4

Calculated values
ΔE_f	0.53	eV per atom
mass density	5475	kg/m³


Entry 12:
DFT (GGA-PBE) results for crystalline HgSe2BrF at its relaxed geometry.

a = 4.3369 Å, b = 4.3369 Å, c = 7.2285 Å
α = 90.00°, β = 90.00°, γ = 90.00°
Space group P4/mmm (No. 123)
Inequivalent atoms, fractional coordinates:
Hg 0.0000 0.0000 0.0000 x1
Se 0.0000 0.5000 0.5000 x2
Br 0.5000 0.5000 0.0000 x1
F 0.5000 0.5000 0.5000 x1

Calculated values
formation energy (no corrections)	0.161	eV/atom
energy relative to the lowest polymorph listed for this composition	0.0000	eV/atom
mass density	5587	kg/m³


Values of calculated volume, in order: 17.4, 22.9, 16.4, 22.3, 19.3, 25.5, 22.4, 44.6, 8.3, 35.7, 38.2, 27.2, all in A^3/atom.
Values of total DFT energy (no corrections), in order: -35.9, -22.7, -9.4, -30.2, -34.2, -85.9, -87.8, -13.8, -50.0, -22.0, -9.0, -10.0, all in eV per formula unit.